Density functional theory data (GGA-PBE) for a geometry-optimized Ho6Ga2Hg structure.

Summary:
Raw total energy   -4.17 eV/atom
ΔH_f (0 K)   -410 meV per atom
Total magnetization   0.0 μB per cell
Space-group type   Immm

abc: 8.564 8.564 8.564
angles: 111.91 111.58 105.01
Element x y z (fractional)
Ho  0.028  0.823  0.205
Ho  0.245  0.546  0.301
Ho  0.245  0.945  0.699
Ho  0.275  0.319  0.594
Ho  0.275  0.681  0.957
Ho  0.382  0.177  0.205
Ho  0.618  0.823  0.795
Ho  0.725  0.319  0.043
Ho  0.725  0.681  0.406
Ho  0.755  0.055  0.301
Ho  0.755  0.454  0.699
Ho  0.972  0.177  0.795
Ga  0.000  0.147  0.147
Ga  0.000  0.853  0.853
Ga  0.378  0.378  0.000
Ga  0.622  0.622  0.000
Hg  0.000  0.500  0.500
Hg  0.500  0.000  0.500